VASP calculation (PBE) on a relaxed structure of LaPrNd2.

a b c (Å): 3.717 3.717 12.278
angles (deg): 81.29 81.29 60.00
Element x y z (fractional)
La  0.500  0.500  0.500
Pr  0.667  0.667  0.000
Nd  0.082  0.082  0.753
Nd  0.251  0.251  0.247

Results
density of states at the Fermi level = 6.59 states/eV/f.u.
magnetization = 0.00 μB per formula unit
symmetry = No. 160
E_form = 0.1 eV/f.u.
theoretical density = 6.52 Mg/m³